Entry 1:
Here is an optimized crystal structure of NpZn from OQMD. Energies are from GGA-PBE.

Properties
M_tot: 11.04 Bohr magnetons per cell
Formation enthalpy at 0 K: 275 meV per atom

Cell: 6.2762 6.2762 4.3270 Å, 90.00 90.00 120.00°
Space group P-6m2 (No. 187)
Asymmetric unit:
Np 0.0000 0.0000 0.0000
Np 0.3184 0.1592 0.5000
Zn 0.0495 0.5247 0.0000
Zn 0.3333 0.6667 0.5000

---

Entry 2:
Here is an optimized crystal structure of ZnGeO3 from OQMD. Energies are from GGA-PBE.

Cell: 2.8264 9.4161 7.0184 Å, 90.00 90.00 90.00°
Space group Cmcm (No. 63)
Asymmetric unit:
Zn 0.0000 0.2405 0.2500
Ge 0.0000 0.5000 0.0000
O 0.0000 0.1304 0.5594
O 0.0000 0.4173 0.7500

---

Entry 3:
Here is an optimized crystal structure of ScReNiSb from OQMD. Energies are from GGA-PBE.

Properties
M_tot: 0.22 Bohr magnetons per cell

Cell: 6.4538 6.4538 6.4538 Å, 90.00 90.00 90.00°
Space group F-43m (No. 216)
Asymmetric unit:
Sc 0.0000 0.0000 0.0000
Re 0.2500 0.2500 0.7500
Ni 0.0000 0.0000 0.5000
Sb 0.2500 0.2500 0.2500

---

Entry 4:
Here is an optimized crystal structure of BaZrCuAu from OQMD. Energies are from GGA-PBE.

Properties
M_tot: 0.00 Bohr magnetons per cell

Cell: 7.0777 7.0777 7.0777 Å, 90.00 90.00 90.00°
Space group F-43m (No. 216)
Asymmetric unit:
Ba 0.0000 0.0000 0.0000
Zr 0.2500 0.2500 0.7500
Cu 0.0000 0.0000 0.5000
Au 0.2500 0.2500 0.2500

---

Entry 5:
Here is an optimized crystal structure of Ho2TmIn3CuGe2 from OQMD. Energies are from GGA-PBE.

Properties
M_tot: 0.04 Bohr magnetons per cell

Cell: 4.1967 12.7353 7.3644 Å, 90.00 90.00 90.00°
Space group Amm2 (No. 38)
Asymmetric unit:
Ho 0.0000 0.2019 0.0000
Tm 0.0000 0.0000 0.6063
In 0.5000 0.0000 0.9594
In 0.5000 0.1217 0.3242
Cu 0.0000 0.0000 0.2046
Ge 0.5000 0.1658 0.7017

---

Entry 6:
Here is an optimized crystal structure of OsPtW from OQMD. Energies are from GGA-PBE.

Properties
M_tot: 0.02 Bohr magnetons per cell
Formation enthalpy at 0 K: 541 meV per atom

Cell: 6.0196 6.0196 6.0196 Å, 90.00 90.00 90.00°
Space group F-43m (No. 216)
Asymmetric unit:
Os 0.0000 0.0000 0.0000
Pt 0.2500 0.2500 0.7500
W 0.2500 0.2500 0.2500

---

Entry 7:
Here is an optimized crystal structure of K2Au from OQMD. Energies are from GGA-PBE.

Cell: 9.9423 9.9423 9.9423 Å, 90.00 90.00 90.00°
Space group Fd-3m (No. 227, origin choice 2)
Asymmetric unit:
K 0.0000 0.0000 0.0000
Au 0.1250 0.1250 0.6250

---

Entry 8:
Here is an optimized crystal structure of Nd3Er3Te2Pd from OQMD. Energies are from GGA-PBE.

Properties
M_tot: 0.03 Bohr magnetons per cell

Cell: 8.4860 8.4860 4.0506 Å, 90.00 90.00 120.00°
Space group P-62m (No. 189)
Asymmetric unit:
Nd 0.0000 0.5949 0.0000
Er 0.0000 0.2415 0.5000
Te 0.3333 0.6667 0.5000
Pd 0.0000 0.0000 0.0000

---

Entry 9:
Here is an optimized crystal structure of Be2AgMo from OQMD. Energies are from GGA-PBE.

Properties
M_tot: 6.11 Bohr magnetons per cell

Cell: 5.9872 5.9872 5.9872 Å, 90.00 90.00 90.00°
Space group F-43m (No. 216)
Asymmetric unit:
Be 0.0000 0.0000 0.0000
Be 0.2500 0.2500 0.2500
Ag 0.0000 0.0000 0.5000
Mo 0.2500 0.2500 0.7500

---

Entry 10:
Here is an optimized crystal structure of Tm3Ni2Ge4 from OQMD. Energies are from GGA-PBE.

Properties
M_tot: 0.00 Bohr magnetons per cell

Cell: 10.4860 4.1286 7.9676 Å, 90.00 106.62 90.00°
Space group C2/m (No. 12)
Asymmetric unit:
Tm 0.0000 0.0000 0.0000
Tm 0.1257 0.5000 0.6932
Ni 0.1935 0.5000 0.3723
Ge 0.0874 0.0000 0.3969
Ge 0.2068 0.5000 0.0761

---

Entry 11:
Here is an optimized crystal structure of IrAuNO from OQMD. Energies are from GGA-PBE.

Properties
M_tot: 0.01 Bohr magnetons per cell

Cell: 4.2168 4.2168 5.4431 Å, 90.00 90.00 90.00°
Space group P4/nmm (No. 129, origin choice 2)
Asymmetric unit:
Ir 0.2500 0.2500 0.0689
Au 0.2500 0.7500 0.5000
N 0.2500 0.2500 0.7232
O 0.2500 0.7500 0.0000

---

Entry 12:
Here is an optimized crystal structure of DyEr2Tm3OsSe2 from OQMD. Energies are from GGA-PBE.

Properties
M_tot: 0.03 Bohr magnetons per cell

Cell: 3.9653 13.6458 7.9987 Å, 90.00 90.00 90.00°
Space group Amm2 (No. 38)
Asymmetric unit:
Dy 0.0000 0.0000 0.0000
Er 0.0000 0.1989 0.5997
Tm 0.5000 0.0000 0.6492
Tm 0.5000 0.1223 0.2784
Os 0.0000 0.0000 0.4087
Se 0.5000 0.1661 0.9018

---

Entry 13:
Here is an optimized crystal structure of GdZrMo2C3 from OQMD. Energies are from GGA-PBE.

Properties
M_tot: 0.03 Bohr magnetons per cell

Cell: 11.3231 3.3182 5.6003 Å, 90.00 108.84 90.00°
Space group Cm (No. 8)
Asymmetric unit:
Gd 0.0000 0.0000 0.0000
Zr 0.2328 0.0000 0.6382
Mo 0.2595 0.5000 0.1837
Mo 0.4621 0.0000 0.4499
C 0.1159 0.5000 0.3371
C 0.3394 0.0000 0.0642
C 0.3733 0.5000 0.5636

---

Entry 14:
Here is an optimized crystal structure of La2SmO3 from OQMD. Energies are from GGA-PBE.

Properties
M_tot: 0.02 Bohr magnetons per cell

Cell: 3.5728 3.5728 8.7932 Å, 90.00 90.00 120.00°
Space group P-3m1 (No. 164)
Asymmetric unit:
La 0.3333 0.6667 0.1678
Sm 0.0000 0.0000 0.5000
O 0.0000 0.0000 0.0000
O 0.3333 0.6667 0.6489

---

Entry 15:
Here is an optimized crystal structure of AcZr from OQMD. Energies are from GGA-PBE.

Properties
M_tot: 0.10 Bohr magnetons per cell
Formation enthalpy at 0 K: 329 meV per atom

Cell: 6.3474 5.6458 7.0995 Å, 90.00 90.00 90.00°
Space group Pnma (No. 62)
Asymmetric unit:
Ac 0.0975 0.2500 0.1303
Zr 0.0463 0.2500 0.6191

---

Entry 16:
Here is an optimized crystal structure of PrTmAsO from OQMD. Energies are from GGA-PBE.

Properties
M_tot: 0.20 Bohr magnetons per cell

Cell: 4.2837 4.2837 9.1748 Å, 90.00 90.00 90.00°
Space group P4/nmm (No. 129, origin choice 2)
Asymmetric unit:
Pr 0.2500 0.7500 0.0000
Tm 0.2500 0.2500 0.4095
As 0.2500 0.2500 0.7746
O 0.2500 0.7500 0.5000

---

Entry 17:
Here is an optimized crystal structure of CuCl3 from OQMD. Energies are from GGA-PBE.

Cell: 5.9586 5.9586 15.8382 Å, 90.00 90.00 120.00°
Space group R-3c (No. 167, hexagonal axes)
Asymmetric unit:
Cu 0.0000 0.0000 0.0000
Cl 0.0000 0.3539 0.2500

---

Entry 18:
Here is an optimized crystal structure of Sn2Bi3Pt2 from OQMD. Energies are from GGA-PBE.

Properties
M_tot: 0.02 Bohr magnetons per cell

Cell: 4.8661 4.8661 18.1532 Å, 90.00 90.00 120.00°
Space group P6_3/mmc (No. 194)
Asymmetric unit:
Sn 0.3333 0.6667 0.0495
Bi 0.0000 0.0000 0.1539
Bi 0.3333 0.6667 0.7500
Pt 0.0000 0.0000 0.0000
Pt 0.3333 0.6667 0.2500

---

Entry 19:
Here is an optimized crystal structure of SmTcAg from OQMD. Energies are from GGA-PBE.

Properties
M_tot: 6.34 Bohr magnetons per cell
Formation enthalpy at 0 K: 1104 meV per atom

Cell: 6.6015 6.6015 6.6015 Å, 90.00 90.00 90.00°
Space group F-43m (No. 216)
Asymmetric unit:
Sm 0.0000 0.0000 0.0000
Tc 0.2500 0.2500 0.2500
Ag 0.2500 0.2500 0.7500

---

Entry 20:
Here is an optimized crystal structure of In2Te6Pd3Pt from OQMD. Energies are from GGA-PBE.

Properties
M_tot: 0.00 Bohr magnetons per cell

Cell: 8.0782 8.0782 5.4497 Å, 90.00 90.00 120.00°
Space group P-3m1 (No. 164)
Asymmetric unit:
In 0.3333 0.6667 0.3005
Te 0.1690 0.3379 0.7521
Pd 0.0000 0.5000 0.0000
Pt 0.0000 0.0000 0.0000

---

| no. | VASP energy (eV per atom) |
| --- | --- |
| 1 | -6.743 |
| 2 | -5.521 |
| 3 | -6.755 |
| 4 | -3.993 |
| 5 | -4.392 |
| 6 | -9.539 |
| 7 | -1.596 |
| 8 | -5.243 |
| 9 | -4.641 |
| 10 | -5.550 |
| 11 | -5.395 |
| 12 | -5.846 |
| 13 | -9.279 |
| 14 | -7.738 |
| 15 | -5.997 |
| 16 | -6.468 |
| 17 | -2.492 |
| 18 | -4.651 |
| 19 | -4.862 |
| 20 | -4.222 |